Record 1
VASP calculation (PBE-GGA) on crystalline ScReAs2 at its relaxed geometry.

abc: 4.087 4.087 5.865
angles: 103.45 103.45 48.79
Fractional coordinates of all 4 atoms:
1 Sc 0.000 0.000 0.000
2 Re 0.500 0.500 0.500
3 As 0.243 0.243 0.717
4 As 0.757 0.757 0.283

Properties
The value obtained for the formation energy is -1.368 eV/f.u. The calculation puts the energy relative to the lowest polymorph listed for this composition at 0.462 eV per formula unit. The total DFT energy (no corrections) is -7.36 eV per atom.


Record 2
VASP calculation (PBE-GGA) on crystalline Zn2GaBi at its relaxed geometry.

abc: 3.542 3.542 6.693
angles: 90.00 90.00 90.00
Fractional coordinates of all 4 atoms:
1 Zn 0.000 0.000 0.204
2 Zn 0.000 0.000 0.796
3 Ga 0.500 0.500 0.000
4 Bi 0.500 0.500 0.500

Properties
The value obtained for the formation energy is 0.600 eV/f.u. The calculation puts the energy relative to the lowest polymorph listed for this composition at 0.104 eV per formula unit. The total DFT energy (no corrections) is -2.21 eV per atom.


Record 3
VASP calculation (PBE-GGA) on crystalline CaSnPb2 at its relaxed geometry.

abc: 4.884 4.884 4.892
angles: 90.00 90.00 90.00
Fractional coordinates of all 4 atoms:
1 Ca 0.000 0.000 0.000
2 Sn 0.500 0.500 0.000
3 Pb 0.000 0.500 0.500
4 Pb 0.500 0.000 0.500

Properties
The value obtained for the formation energy is -1.331 eV/f.u. The total DFT energy (no corrections) is -3.69 eV per atom.